Record 1
CrBi2Br after structural relaxation. Source: the Alexandria database, functional PBE-GGA.

Properties
Energy = -17.27 eV/f.u.
Spin magnetization = 4.58 μB/f.u.
Polymorph energy (0 for the lowest one) = 0 meV per atom
Raw formation energy = 0.45 eV per atom

Cell lengths 7.514, 7.514, 7.514 Å; angles 90.00, 90.00, 90.00 degrees
Positions (direct):
Cr1 0.000 0.000 0.000
Cr2 0.000 0.500 0.500
Cr3 0.500 0.000 0.500
Cr4 0.500 0.500 0.000
Bi1 0.250 0.250 0.250
Bi2 0.250 0.250 0.750
Bi3 0.250 0.750 0.250
Bi4 0.250 0.750 0.750
Bi5 0.750 0.250 0.250
Bi6 0.750 0.250 0.750
Bi7 0.750 0.750 0.250
Bi8 0.750 0.750 0.750
Br1 0.000 0.000 0.500
Br2 0.000 0.500 0.000
Br3 0.500 0.000 0.000
Br4 0.500 0.500 0.500

=====

Record 2
Er4AsCS2 after structural relaxation. Source: the Alexandria database, functional PBE-GGA.

Properties
Energy = -52.07 eV/f.u.
Spin magnetization = 0.00 μB/f.u.
Raw formation energy = -1.46 eV per atom

Cell lengths 5.468, 5.468, 11.019 Å; angles 90.00, 90.00, 90.00 degrees
Positions (direct):
Er1 0.000 0.000 0.220
Er2 0.000 0.000 0.780
Er3 0.000 0.500 0.501
Er4 0.000 0.500 0.999
Er5 0.500 0.000 0.001
Er6 0.500 0.000 0.499
Er7 0.500 0.500 0.280
Er8 0.500 0.500 0.720
As1 0.000 0.500 0.250
As2 0.500 0.000 0.750
C1 0.000 0.000 0.000
C2 0.500 0.500 0.500
S1 0.000 0.000 0.500
S2 0.000 0.500 0.750
S3 0.500 0.000 0.250
S4 0.500 0.500 0.000